# 1
DFT (PBE) results for a relaxed structure of Pm7Nd12Sc.

The space group is R-3 (No. 148, hexagonal axes) and the conventional cell measures 18.9785, 18.9785 and 6.8663 Å, with angles of 90.00, 90.00 and 120.00 degrees. The asymmetric unit holds Pm at (0.0000, 0.0000, 0.0000), Pm at (0.0068, 0.8544, 0.2913), Nd at (0.0011, 0.2128, 0.2015), Nd at (0.0077, 0.4683, 0.2412) and Sc at (0.0000, 0.0000, 0.5000).

The energy relative to the lowest polymorph listed for this composition comes out at 115 meV/atom. The total energy is -4.581 eV per atom. The value obtained for the energy relative to the elements is 0.259 eV per atom.

# 2
DFT (PBE) results for a relaxed structure of PmNd10Sc4.

The space group is I4/m (No. 87) and the conventional cell measures 12.112, 12.112 and 7.076 Å, with angles of 90.00, 90.00 and 90.00 degrees. The asymmetric unit holds Pm at (0.000, 0.000, 0.000), Nd at (0.000, 0.500, 0.250), Nd at (0.118, 0.270, 0.233) and Sc at (0.069, 0.818, 0.500).

The total energy is -4.657 eV per atom. The value obtained for the energy relative to the elements is 0.527 eV per atom.

# 3
DFT (PBE) results for a relaxed structure of Pm5Nd2Sc2.

The space group is Cmce (No. 64) and the conventional cell measures 16.880, 8.647 and 8.174 Å, with angles of 90.00, 90.00 and 90.00 degrees. The asymmetric unit holds Pm at (0.000, 0.000, 0.000), Pm at (0.133, 0.184, 0.321), Nd at (0.215, 0.000, 0.000) and Sc at (0.000, 0.126, 0.623).

The energy relative to the lowest polymorph listed for this composition comes out at 205 meV/atom. The total energy is -4.866 eV per atom. The value obtained for the energy relative to the elements is 0.239 eV per atom.

# 4
DFT (PBE) results for a relaxed structure of Pm6Nd5Sc.

The space group is C2/m (No. 12) and the conventional cell measures 6.293, 10.893 and 12.061 Å, with angles of 90.00, 100.03 and 90.00 degrees. The asymmetric unit holds Pm at (0.246, 0.165, 0.246), Pm at (0.247, 0.000, 0.753), Nd at (0.000, 0.166, 0.500), Nd at (0.000, 0.333, 0.000), Nd at (0.000, 0.500, 0.500) and Sc at (0.000, 0.000, 0.000).

The total energy is -4.863 eV per atom. The value obtained for the energy relative to the elements is 0.026 eV per atom.